(1)
A relaxed Nd6YTm3 crystal, computed with GGA-PBE.

Structure (POSCAR):
```
Nd6YTm3
1.0
6.4315 0.0000 0.0000
0.0000 11.4330 -2.8382
0.0000 -5.3179 10.5113
Nd Tm Y
12 6 2
Direct
0.5725 0.2606 0.3799
0.3079 0.9844 0.0156
0.2988 0.6984 0.3016
0.8218 0.8940 0.4544
0.0725 0.7394 0.6201
0.3218 0.1060 0.5456
0.8079 0.0156 0.9844
0.3218 0.4544 0.8940
0.0725 0.3799 0.2606
0.7988 0.3016 0.6984
0.5725 0.6201 0.7394
0.8218 0.5456 0.1060
0.4921 0.9567 0.7072
0.5927 0.5801 0.4199
0.9921 0.7072 0.9567
0.4921 0.2928 0.0433
0.0927 0.4199 0.5801
0.9921 0.0433 0.2928
0.5131 0.8426 0.1574
0.0131 0.1574 0.8426
```

Computed properties:
Its total energy is -4.7218 eV/atom. Its density of states at the Fermi level is 31.63 states/eV/cell. Its formation enthalpy at 0 K is 127 meV/atom.

(2)
A relaxed NdY5Tm2 crystal, computed with GGA-PBE.

Structure (POSCAR):
```
NdY5Tm2
1.0
-2.9612 -1.7755 3.6500
2.9423 -6.4552 -0.7531
9.9170 3.3892 9.6943
Y Tm Nd
10 4 2
Direct
0.0000 0.5015 0.2505
0.0000 0.9985 0.7505
0.5000 0.7488 0.6255
0.0000 0.5000 0.5000
0.0000 0.0000 0.0000
0.5000 0.7512 0.1255
0.5000 0.2512 0.3745
0.0000 0.4985 0.7495
0.0000 0.0015 0.2495
0.5000 0.2488 0.8745
0.5000 0.2508 0.1255
0.5000 0.7508 0.3745
0.5000 0.2492 0.6255
0.5000 0.7492 0.8745
0.0000 0.5000 0.0000
0.0000 0.0000 0.5000
```

Computed properties:
The calculation puts the energy above the most stable polymorph in this dataset at 0 kJ/mol of formula units. Its total energy is -5.7304 eV/atom. Its density of states at the Fermi level is 21.45 states/eV/cell. Its formation enthalpy at 0 K is 24 meV/atom.

(3)
A relaxed NdY3Tm5 crystal, computed with GGA-PBE.

Structure (POSCAR):
```
NdY3Tm5
1.0
-4.9731 7.9716 0.9504
-4.0242 1.7700 -8.3579
-11.2060 1.5065 -2.1461
Tm Y Nd
10 6 2
Direct
0.6463 0.1476 0.7570
0.8142 0.8142 0.9631
0.1476 0.6463 0.7570
0.2615 0.7385 0.0000
0.7385 0.2615 0.0000
0.5080 0.5080 0.7735
0.4920 0.4920 0.2265
0.3537 0.8524 0.2430
0.1858 0.1858 0.0369
0.8524 0.3537 0.2430
0.3020 0.3020 0.1876
0.3434 0.3434 0.6340
0.6566 0.6566 0.3660
0.0000 0.0000 0.5000
0.6980 0.6980 0.8124
0.0000 0.0000 0.0000
0.8472 0.8472 0.4031
0.1528 0.1528 0.5969
```

Computed properties:
The calculation puts the energy above the most stable polymorph in this dataset at 162 kJ/mol of formula units. Its total energy is -4.6352 eV/atom. Its density of states at the Fermi level is 24.09 states/eV/cell. Its formation enthalpy at 0 K is 533 meV/atom.

(4)
A relaxed Nd6Y5Tm crystal, computed with GGA-PBE.

Structure (POSCAR):
```
Nd6Y5Tm
1.0
11.8047 -1.2342 0.0000
1.7442 6.0405 0.0000
0.8721 3.0203 5.4442
Tm Y Nd
1 5 6
Direct
0.0000 0.0000 0.0000
0.0000 0.3333 0.3333
0.5000 0.8334 0.3332
0.0000 0.6667 0.6667
0.5000 0.1666 0.6668
0.5000 0.5000 0.0000
0.2491 0.5853 0.3321
0.7509 0.0826 0.3321
0.2491 0.9174 0.6679
0.7508 0.7504 0.0000
0.2492 0.2496 0.0000
0.7509 0.4147 0.6679
```

Computed properties:
The calculation puts the energy above the most stable polymorph in this dataset at 0 kJ/mol of formula units. Its total energy is -5.4404 eV/atom. Its density of states at the Fermi level is 13.82 states/eV/cell. Its formation enthalpy at 0 K is 9 meV/atom.

total energy of number 2 (NdY5Tm2)?
-5.7304 eV/atom